DFT (GGA-PBE) results for a geometry-optimized Ac12Ir6Pb structure.

Properties
space group = Im-3
ΔE_f = -517 meV per atom
final energy = -6.11 eV per atom

Lattice parameters (Å, degrees): 9.4264 9.4264 9.4264 109.47 109.47 109.47
With the nearest neighbours (Å) after each atom.
Fractional positions:
Ac: 0.1327 0.8186 0.3141  3 Ir 2.90-3.15
Ac: 0.1814 0.3141 0.4956  3 Ir 2.90-3.15
Ac: 0.1814 0.6859 0.8673  3 Ir 2.90-3.15
Ac: 0.3141 0.1327 0.8186  3 Ir 2.90-3.15
Ac: 0.3141 0.4956 0.1814  3 Ir 2.90-3.15
Ac: 0.4956 0.1814 0.3141  3 Ir 2.90-3.15
Ac: 0.5044 0.8186 0.6859  3 Ir 2.90-3.15
Ac: 0.6859 0.5044 0.8186  3 Ir 2.90-3.15
Ac: 0.6859 0.8673 0.1814  3 Ir 2.90-3.15
Ac: 0.8186 0.3141 0.1327  3 Ir 2.90-3.15
Ac: 0.8186 0.6859 0.5044  3 Ir 2.90-3.15
Ac: 0.8673 0.1814 0.6859  3 Ir 2.90-3.15
Ir: 0.1282 0.6282 0.5000  1 Ir 2.79, 2 Ac 2.90
Ir: 0.3718 0.5000 0.8718  1 Ir 2.79, 2 Ac 2.90
Ir: 0.5000 0.1282 0.6282  1 Ir 2.79, 2 Ac 2.90
Ir: 0.5000 0.8718 0.3718  1 Ir 2.79, 2 Ac 2.90
Ir: 0.6282 0.5000 0.1282  1 Ir 2.79, 2 Ac 2.90
Ir: 0.8718 0.3718 0.5000  1 Ir 2.79, 2 Ac 2.90
Pb: 0.0000 0.0000 0.0000  12 Ac 3.95

DFT (GGA-PBE) results for a geometry-optimized Ac6IrPb3 structure.

Properties
space group = P2_1/c
ΔE_f = -465 meV per atom
final energy = -4.93 eV per atom

Lattice parameters (Å, degrees): 7.0731 9.3696 13.5281 90.00 119.63 90.00
With the nearest neighbours (Å) after each atom.
Fractional positions:
Ac: 0.0827 0.1555 0.4377  1 Ir 3.01
Ac: 0.0827 0.3445 0.9377  1 Ir 3.01
Ac: 0.3182 0.6996 0.4364  1 Ir 3.04, 1 Pb 3.35
Ac: 0.3182 0.8004 0.9364  1 Ir 3.04, 1 Pb 3.35
Ac: 0.4035 0.0466 0.2660  1 Ir 2.92
Ac: 0.4035 0.4534 0.7660  1 Ir 2.92
Ac: 0.5965 0.5466 0.2340  1 Ir 2.92
Ac: 0.5965 0.9534 0.7340  1 Ir 2.92
Ac: 0.6818 0.1996 0.0636  1 Ir 3.04, 1 Pb 3.35
Ac: 0.6818 0.3004 0.5636  1 Ir 3.04, 1 Pb 3.35
Ac: 0.9173 0.6555 0.0623  1 Ir 3.01
Ac: 0.9173 0.8445 0.5623  1 Ir 3.01
Ir: 0.5000 0.0000 0.5000  6 Ac 2.92-3.04
Ir: 0.5000 0.5000 0.0000  6 Ac 2.92-3.04
Pb: 0.0000 0.0000 0.0000  6 Ac 3.34-3.46
Pb: 0.0000 0.5000 0.5000  6 Ac 3.34-3.46
Pb: 0.1792 0.1147 0.7622  6 Ac 3.49-3.64
Pb: 0.1792 0.3853 0.2622  6 Ac 3.49-3.64
Pb: 0.8208 0.6147 0.7378  6 Ac 3.49-3.64
Pb: 0.8208 0.8853 0.2378  6 Ac 3.49-3.64

DFT (GGA-PBE) results for a geometry-optimized Ac4IrPb structure.

Properties
space group = P2_1/m
ΔE_f = -464 meV per atom
final energy = -5.30 eV per atom
polymorph energy (0 for the lowest one) = 0.0 meV per atom

Lattice parameters (Å, degrees): 6.8392 7.5488 8.7674 90.00 93.96 90.00
With the nearest neighbours (Å) after each atom.
Fractional positions:
Ac: 0.0901 0.2500 0.0784  1 Ir 3.00
Ac: 0.1506 0.7500 0.3680  1 Ir 3.04
Ac: 0.3981 0.5047 0.7842  2 Ir 2.98-3.10
Ac: 0.3981 0.9953 0.7842  2 Ir 2.98-3.10
Ac: 0.6019 0.0047 0.2158  2 Ir 2.98-3.10
Ac: 0.6019 0.4953 0.2158  2 Ir 2.98-3.10
Ac: 0.8494 0.2500 0.6320  1 Ir 3.04
Ac: 0.9099 0.7500 0.9216  1 Ir 3.00
Ir: 0.3235 0.7500 0.0583  6 Ac 2.98-3.10
Ir: 0.6765 0.2500 0.9417  6 Ac 2.98-3.10
Pb: 0.2940 0.2500 0.4488  6 Ac 3.44-3.55
Pb: 0.7060 0.7500 0.5512  6 Ac 3.44-3.55

DFT (GGA-PBE) results for a geometry-optimized Ac3IrPb2 structure.

Properties
space group = C2/c
ΔE_f = -428 meV per atom
final energy = -5.19 eV per atom
polymorph energy (0 for the lowest one) = 74.3 meV per atom

Lattice parameters (Å, degrees): 8.7830 8.7830 8.3624 103.80 103.80 44.26
With the nearest neighbours (Å) after each atom.
Fractional positions:
Ac: 0.0195 0.9805 0.7500  2 Ir 3.16-3.46
Ac: 0.3637 0.3691 0.4322  2 Ir 2.96-2.97
Ac: 0.3691 0.3637 0.9322  2 Ir 2.96-2.97
Ac: 0.6309 0.6363 0.0678  2 Ir 2.96-2.97
Ac: 0.6363 0.6309 0.5678  2 Ir 2.96-2.97
Ac: 0.9805 0.0195 0.2500  2 Ir 3.16-3.46
Ir: 0.4969 0.5031 0.7500  5 Ac 2.96-3.16
Ir: 0.5031 0.4969 0.2500  5 Ac 2.96-3.16
Pb: 0.1805 0.1862 0.0899  6 Ac 3.40-3.57
Pb: 0.1862 0.1805 0.5899  6 Ac 3.40-3.57
Pb: 0.8138 0.8195 0.4101  6 Ac 3.40-3.57
Pb: 0.8195 0.8138 0.9101  6 Ac 3.40-3.57

DFT (GGA-PBE) results for a geometry-optimized Ac4IrPb structure.

Properties
space group = P4/mmm
ΔE_f = -313 meV per atom
final energy = -5.15 eV per atom
polymorph energy (0 for the lowest one) = 150.3 meV per atom

Lattice parameters (Å, degrees): 5.3501 5.3501 8.0987 90.00 90.00 90.00
With the nearest neighbours (Å) after each atom.
Fractional positions:
Ac: 0.0000 0.5000 0.2221  2 Ir 3.22, 2 Pb 3.50, 1 Ac 3.60
Ac: 0.0000 0.5000 0.7779  2 Ir 3.22, 2 Pb 3.50, 1 Ac 3.60
Ac: 0.5000 0.0000 0.2221  2 Ir 3.22, 2 Pb 3.50, 1 Ac 3.60
Ac: 0.5000 0.0000 0.7779  2 Ir 3.22, 2 Pb 3.50, 1 Ac 3.60
Ir: 0.0000 0.0000 0.0000  8 Ac 3.22
Pb: 0.5000 0.5000 0.5000  8 Ac 3.50

DFT (GGA-PBE) results for a geometry-optimized Ac5IrPb structure.

Properties
space group = C2/c
ΔE_f = -298 meV per atom
final energy = -5.03 eV per atom

Lattice parameters (Å, degrees): 7.3858 7.3858 12.3409 107.56 107.56 62.29
With the nearest neighbours (Å) after each atom.
Fractional positions:
Ac: 0.0325 0.9675 0.7500  2 Ir 3.10
Ac: 0.0348 0.3887 0.6362  1 Ir 2.94
Ac: 0.2127 0.5534 0.9626  1 Ir 2.87
Ac: 0.3887 0.0348 0.1362  1 Ir 2.94
Ac: 0.4466 0.7873 0.5374  1 Ir 2.87
Ac: 0.5534 0.2127 0.4626  1 Ir 2.87
Ac: 0.6113 0.9652 0.8638  1 Ir 2.94
Ac: 0.7873 0.4466 0.0374  1 Ir 2.87
Ac: 0.9652 0.6113 0.3638  1 Ir 2.94
Ac: 0.9675 0.0325 0.2500  2 Ir 3.10
Ir: 0.0000 0.0000 0.0000  6 Ac 2.87-3.10
Ir: 0.0000 0.0000 0.5000  6 Ac 2.87-3.10
Pb: 0.4794 0.5206 0.2500  8 Ac 3.52-3.91
Pb: 0.5206 0.4794 0.7500  8 Ac 3.52-3.91

Number 1: D(E_F) 11.36 states/eV/f.u.. Number 2: D(E_F) 10.28 states/eV/f.u.. Number 3: D(E_F) 6.10 states/eV/f.u.. Number 4: D(E_F) 5.30 states/eV/f.u.. Number 5: D(E_F) 8.47 states/eV/f.u.. Number 6: D(E_F) 8.18 states/eV/f.u..